First-principles (PBE) data for CsIn6Sn2 after structural relaxation, as listed in Alexandria via LeMat-Bulk.

Cell lengths 5.466, 5.466, 9.631 Å; angles 90.00, 90.00, 90.00 degrees
Fractional positions:
Cs: 0.000 0.000 0.000
In: 0.000 0.500 0.318
In: 0.500 0.000 0.318
In: 0.000 0.500 0.682
In: 0.500 0.000 0.682
In: 0.500 0.500 0.500
In: 0.000 0.000 0.500
Sn: 0.500 0.500 0.159
Sn: 0.500 0.500 0.841

Summary:
Its total DFT energy (no corrections) is -2.8659 eV per atom. The density of states at the Fermi level is 0.35 states/eV per atom. As for the formation energy from the elements: -0.056 eV/atom. The total magnetization is 0.00 μB per cell. The space group is P4/mmm.